# HfMn3Be (PBE-GGA, optimized geometry)
data_HfMn3Be
_chemical_formula_sum 'Hf1 Mn3 Be1'
_space_group_name_H-M_alt 'P m -3 m'
_space_group_IT_number 221
_space_group_name_Hall '-P 4 2 3'
_cell_length_a 4.054
_cell_length_b 4.054
_cell_length_c 4.054
_cell_angle_alpha 90.00
_cell_angle_beta 90.00
_cell_angle_gamma 90.00
loop_
_atom_site_label
_atom_site_type_symbol
_atom_site_fract_x
_atom_site_fract_y
_atom_site_fract_z
Hf1 Hf 0.000 0.000 0.000
Mn1 Mn 0.000 0.500 0.500
Be1 Be 0.500 0.500 0.500
# - Calculated volume: 13.32 A^3/atom
# - Uncorrected energy: -7.951 eV/atom
# - Calculated density: 8.78 g/cm3
# - ΔE to the lowest computed polymorph: 0 meV per atom
# - Energy relative to the elements: 0.29 eV/atom

***

# Hf3MnBe (PBE-GGA, optimized geometry)
data_Hf3MnBe
_chemical_formula_sum 'Hf3 Mn1 Be1'
_space_group_name_H-M_alt 'P m -3 m'
_space_group_IT_number 221
_space_group_name_Hall '-P 4 2 3'
_cell_length_a 4.730
_cell_length_b 4.730
_cell_length_c 4.730
_cell_angle_alpha 90.00
_cell_angle_beta 90.00
_cell_angle_gamma 90.00
loop_
_atom_site_label
_atom_site_type_symbol
_atom_site_fract_x
_atom_site_fract_y
_atom_site_fract_z
Hf1 Hf 0.000 0.000 0.500
Mn1 Mn 0.000 0.000 0.000
Be1 Be 0.500 0.500 0.500
# - Calculated volume: 21.16 A^3/atom
# - Uncorrected energy: -7.850 eV/atom
# - Calculated density: 9.41 g/cm3
# - ΔE to the lowest computed polymorph: 0 meV per atom
# - Energy relative to the elements: 0.70 eV/atom

***

# HfMnBe2 (PBE-GGA, optimized geometry)
data_HfMnBe2
_chemical_formula_sum 'Hf1 Mn1 Be2'
_space_group_name_H-M_alt 'P 4/m m m'
_space_group_IT_number 123
_space_group_name_Hall '-P 4 2'
_cell_length_a 2.938
_cell_length_b 2.938
_cell_length_c 5.656
_cell_angle_alpha 90.00
_cell_angle_beta 90.00
_cell_angle_gamma 90.00
loop_
_atom_site_label
_atom_site_type_symbol
_atom_site_fract_x
_atom_site_fract_y
_atom_site_fract_z
Hf1 Hf 0.000 0.000 0.000
Mn1 Mn 0.000 0.000 0.500
Be1 Be 0.500 0.500 0.313
# - Calculated volume: 12.21 A^3/atom
# - Uncorrected energy: -6.677 eV/atom
# - Calculated density: 8.55 g/cm3
# - ΔE to the lowest computed polymorph: 19 meV per atom
# - Energy relative to the elements: -0.03 eV/atom

***

# HfMnBe2 (PBE-GGA, optimized geometry)
data_HfMnBe2
_chemical_formula_sum 'Hf4 Mn4 Be8'
_space_group_name_H-M_alt 'I 41/a m d'
_space_group_IT_number 141
_cell_length_a 3.827
_cell_length_b 3.827
_cell_length_c 15.286
_cell_angle_alpha 90.00
_cell_angle_beta 90.00
_cell_angle_gamma 90.00
loop_
_space_group_symop_operation_xyz
'x,y,z'
'-x,-y,-z'
'-y+1/4,x+3/4,z+1/4'
'y+1/4,-x+3/4,-z+1/4'
'-x+1/2,-y,z+1/2'
'x+1/2,y,-z+1/2'
'y+1/4,-x+1/4,z+3/4'
'-y+1/4,x+1/4,-z+3/4'
'x,-y,-z'
'-x,y,z'
'-y+1/4,-x+1/4,-z+3/4'
'y+1/4,x+1/4,z+3/4'
'-x+1/2,y,-z+1/2'
'x+1/2,-y,z+1/2'
'y+1/4,x+3/4,-z+1/4'
'-y+1/4,-x+3/4,z+1/4'
'x+1/2,y+1/2,z+1/2'
'-x+1/2,-y+1/2,-z+1/2'
'-y+3/4,x+1/4,z+3/4'
'y+3/4,-x+1/4,-z+3/4'
'-x,-y+1/2,z'
'x,y+1/2,-z'
'y+3/4,-x+3/4,z+1/4'
'-y+3/4,x+3/4,-z+1/4'
'x+1/2,-y+1/2,-z+1/2'
'-x+1/2,y+1/2,z+1/2'
'-y+3/4,-x+3/4,-z+1/4'
'y+3/4,x+3/4,z+1/4'
'-x,y+1/2,-z'
'x,-y+1/2,z'
'y+3/4,x+1/4,-z+3/4'
'-y+3/4,-x+1/4,z+3/4'
loop_
_atom_site_label
_atom_site_type_symbol
_atom_site_fract_x
_atom_site_fract_y
_atom_site_fract_z
Hf1 Hf 0.000 0.250 0.375
Mn1 Mn 0.000 0.250 0.875
Be1 Be 0.000 0.000 0.000
# - Calculated volume: 13.99 A^3/atom
# - Uncorrected energy: -6.209 eV/atom
# - Calculated density: 7.46 g/cm3
# - ΔE to the lowest computed polymorph: 486 meV per atom
# - Energy relative to the elements: 0.43 eV/atom

***

# HfMn10Be2 (PBE-GGA, optimized geometry)
data_HfMn10Be2
_chemical_formula_sum 'Hf4 Mn40 Be8'
_space_group_name_H-M_alt 'C m c m'
_space_group_IT_number 63
_space_group_name_Hall '-C 2c 2'
_cell_length_a 7.956
_cell_length_b 9.275
_cell_length_c 7.839
_cell_angle_alpha 90.00
_cell_angle_beta 90.00
_cell_angle_gamma 90.00
loop_
_atom_site_label
_atom_site_type_symbol
_atom_site_fract_x
_atom_site_fract_y
_atom_site_fract_z
Hf1 Hf 0.000 0.132 0.250
Mn1 Mn 0.000 0.178 0.601
Mn2 Mn 0.000 0.393 0.064
Mn3 Mn 0.139 0.389 0.750
Mn4 Mn 0.204 0.000 0.000
Mn5 Mn 0.250 0.127 0.750
Be1 Be 0.250 0.250 0.000
# - Calculated volume: 11.12 A^3/atom
# - Uncorrected energy: -8.491 eV/atom
# - Calculated density: 8.56 g/cm3
# - Energy relative to the elements: -0.10 eV/atom

***

# Na2HfMnBe (PBE-GGA, optimized geometry)
data_Na2HfMnBe
_chemical_formula_sum 'Na2 Hf1 Mn1 Be1'
_space_group_name_H-M_alt 'P 4/m m m'
_space_group_IT_number 123
_space_group_name_Hall '-P 4 2'
_cell_length_a 4.710
_cell_length_b 4.710
_cell_length_c 4.572
_cell_angle_alpha 90.00
_cell_angle_beta 90.00
_cell_angle_gamma 90.00
loop_
_atom_site_label
_atom_site_type_symbol
_atom_site_fract_x
_atom_site_fract_y
_atom_site_fract_z
Na1 Na 0.000 0.500 0.000
Hf1 Hf 0.000 0.000 0.500
Mn1 Mn 0.500 0.500 0.500
Be1 Be 0.500 0.500 0.000
# - Calculated volume: 20.28 A^3/atom
# - Uncorrected energy: -3.928 eV/atom
# - Calculated density: 4.72 g/cm3
# - Energy relative to the elements: 1.17 eV/atom

***

Which value of energy relative to the elements does entry 5 give? -0.10 eV/atom

***

Repeat the sixth record exactly.
# Na2HfMnBe (PBE-GGA, optimized geometry)
data_Na2HfMnBe
_chemical_formula_sum 'Na2 Hf1 Mn1 Be1'
_space_group_name_H-M_alt 'P 4/m m m'
_space_group_IT_number 123
_space_group_name_Hall '-P 4 2'
_cell_length_a 4.710
_cell_length_b 4.710
_cell_length_c 4.572
_cell_angle_alpha 90.00
_cell_angle_beta 90.00
_cell_angle_gamma 90.00
loop_
_atom_site_label
_atom_site_type_symbol
_atom_site_fract_x
_atom_site_fract_y
_atom_site_fract_z
Na1 Na 0.000 0.500 0.000
Hf1 Hf 0.000 0.000 0.500
Mn1 Mn 0.500 0.500 0.500
Be1 Be 0.500 0.500 0.000
# - Calculated volume: 20.28 A^3/atom
# - Uncorrected energy: -3.928 eV/atom
# - Calculated density: 4.72 g/cm3
# - Energy relative to the elements: 1.17 eV/atom